No. 1
TbPr12Sm6 | PBE-GGA | optimized geometry

Lattice parameters (Å, degrees): 8.795 8.795 8.795 89.09 89.09 89.09
Element x y z (fractional)
Tb 0.000 0.000 0.000
Pr 0.018 0.192 0.361
Pr 0.192 0.361 0.018
Pr 0.219 0.464 0.566
Pr 0.361 0.018 0.192
Pr 0.434 0.781 0.536
Pr 0.464 0.566 0.219
Pr 0.536 0.434 0.781
Pr 0.566 0.219 0.464
Pr 0.639 0.982 0.808
Pr 0.781 0.536 0.434
Pr 0.808 0.639 0.982
Pr 0.982 0.808 0.639
Sm 0.097 0.702 0.261
Sm 0.261 0.097 0.702
Sm 0.298 0.739 0.903
Sm 0.702 0.261 0.097
Sm 0.739 0.903 0.298
Sm 0.903 0.298 0.739

Energy in eV/cell: -87.9
Relative energy among the computed polymorphs in meV/atom: 0
SG: R-3 (148)

No. 2
FeAu3 | PBE-GGA | optimized geometry

Lattice parameters (Å, degrees): 2.829 4.755 5.016 90.00 90.00 90.00
Element x y z (fractional)
Fe 0.000 0.000 0.000
Au 0.000 0.500 0.684
Au 0.500 0.000 0.498
Au 0.500 0.500 0.170

Energy in eV/cell: -17.7
SG: Pmm2 (25)

Number 1: DFT formation energy 0.125 eV/atom, DOS(E_F) 30.43 states/eV/cell. Number 2: DFT formation energy 0.154 eV/atom, DOS(E_F) 2.98 states/eV/cell.